[1]
A relaxed SrCoRu2 crystal. Source: Alexandria, functional GGA-PBE.

Results
energy of formation: 3.86 eV/f.u.
D(E_F): 2.158 states/eV/atom

abc: 3.911 3.911 4.502
angles: 90.00 90.00 90.00
Space group P4/mmm (No. 123)
Inequivalent atoms, fractional coordinates:
1 Sr 0.000 0.000 0.000
2 Co 0.500 0.500 0.000
3 Ru 0.000 0.500 0.500

[2]
A relaxed SrCo2Ru crystal. Source: Alexandria, functional GGA-PBE.

Results
energy of formation: 2.99 eV/f.u.
D(E_F): 0.838 states/eV/atom

abc: 4.581 4.581 3.119
angles: 90.00 90.00 90.00
Space group P4/mmm (No. 123)
Inequivalent atoms, fractional coordinates:
1 Sr 0.000 0.000 0.000
2 Co 0.000 0.500 0.500
3 Ru 0.500 0.500 0.000

[3]
A relaxed SrCo3Ru crystal. Source: Alexandria, functional GGA-PBE.

Results
energy of formation: 4.07 eV/f.u.
D(E_F): 1.478 states/eV/atom

abc: 4.621 4.621 4.621
angles: 90.00 90.00 90.00
Space group Pm-3m (No. 221)
Inequivalent atoms, fractional coordinates:
1 Sr 0.000 0.000 0.000
2 Co 0.000 0.500 0.500
3 Ru 0.500 0.500 0.500

[4]
A relaxed SrCoRu3 crystal. Source: Alexandria, functional GGA-PBE.

Results
energy of formation: 14.78 eV/f.u.
D(E_F): 1.833 states/eV/atom

abc: 4.839 4.839 4.839
angles: 90.00 90.00 90.00
Space group Pm-3m (No. 221)
Inequivalent atoms, fractional coordinates:
1 Sr 0.000 0.000 0.000
2 Co 0.500 0.500 0.500
3 Ru 0.000 0.000 0.500

[5]
A relaxed SrCo2Ru2 crystal. Source: Alexandria, functional GGA-PBE.

Results
energy of formation: 1.73 eV/f.u.
D(E_F): 1.235 states/eV/atom

abc: 4.176 4.176 9.943
angles: 90.00 90.00 90.00
Space group I4/mmm (No. 139)
Inequivalent atoms, fractional coordinates:
1 Sr 0.000 0.000 0.000
2 Co 0.000 0.000 0.377
3 Ru 0.000 0.500 0.250

[6]
A relaxed SrCo2Ru crystal. Source: Alexandria, functional GGA-PBE.

Results
energy of formation: 0.86 eV/f.u.
D(E_F): 0.989 states/eV/atom

abc: 4.1689 4.1689 16.0423
angles: 90.00 90.00 120.00
Space group R-3m (No. 166, hexagonal axes)
Inequivalent atoms, fractional coordinates:
1 Sr 0.0000 0.0000 0.0000
2 Co 0.0000 0.0000 0.1877
3 Ru 0.0000 0.0000 0.5000

[7]
A relaxed SrCo2Ru crystal. Source: Alexandria, functional GGA-PBE.

Results
energy of formation: 1.98 eV/f.u.
D(E_F): 1.429 states/eV/atom

abc: 3.136 3.136 7.040
angles: 90.00 90.00 90.00
Space group P4/mmm (No. 123)
Inequivalent atoms, fractional coordinates:
1 Sr 0.000 0.000 0.000
2 Co 0.500 0.500 0.327
3 Ru 0.000 0.000 0.500

[8]
A relaxed Sr4CoRu2 crystal. Source: Alexandria, functional GGA-PBE.

Results
energy of formation: 5.16 eV/f.u.
D(E_F): 1.230 states/eV/atom

abc: 5.827 5.827 14.237
angles: 90.00 90.00 90.00
Space group I4/mmm (No. 139)
Inequivalent atoms, fractional coordinates:
1 Sr 0.000 0.000 0.203
2 Sr 0.000 0.500 0.000
3 Co 0.000 0.000 0.000
4 Ru 0.000 0.000 0.417

[9]
A relaxed SrCo2Ru crystal. Source: Alexandria, functional GGA-PBE.

Results
energy of formation: 0.91 eV/f.u.
D(E_F): 1.067 states/eV/atom

abc: 4.1245 4.1245 16.2925
angles: 90.00 90.00 120.00
Space group R3m (No. 160, hexagonal axes)
Inequivalent atoms, fractional coordinates:
1 Sr 0.0000 0.0000 0.0000
2 Co 0.0000 0.0000 0.1876
3 Co 0.0000 0.0000 0.5017
4 Ru 0.0000 0.0000 0.8113

[10]
A relaxed SrCoRu2 crystal. Source: Alexandria, functional GGA-PBE.

Results
energy of formation: 2.49 eV/f.u.
D(E_F): 1.462 states/eV/atom

abc: 2.816 4.731 10.031
angles: 90.00 90.00 90.00
Space group Immm (No. 71)
Inequivalent atoms, fractional coordinates:
1 Sr 0.000 0.000 0.000
2 Co 0.000 0.000 0.500
3 Ru 0.000 0.500 0.213

[11]
A relaxed SrCoRu2 crystal. Source: Alexandria, functional GGA-PBE.

Results
energy of formation: 2.72 eV/f.u.
D(E_F): 1.557 states/eV/atom

abc: 2.907 4.183 6.208
angles: 90.00 102.77 90.00
Space group P2/m (No. 10)
Inequivalent atoms, fractional coordinates:
1 Sr 0.000 0.000 0.000
2 Co 0.500 0.000 0.500
3 Ru 0.309 0.500 0.677

[12]
A relaxed SrCoRu2 crystal. Source: Alexandria, functional GGA-PBE.

Results
energy of formation: 2.39 eV/f.u.
D(E_F): 1.446 states/eV/atom

abc: 2.835 3.372 7.330
angles: 90.00 90.00 90.00
Space group Pmmm (No. 47)
Inequivalent atoms, fractional coordinates:
1 Sr 0.000 0.000 0.000
2 Co 0.000 0.000 0.500
3 Ru 0.500 0.500 0.326

[13]
A relaxed SrCoRu2 crystal. Source: Alexandria, functional GGA-PBE.

Results
energy of formation: 3.49 eV/f.u.
D(E_F): 1.620 states/eV/atom

abc: 5.565 9.536 2.806
angles: 90.00 114.99 90.00
Space group C2/m (No. 12)
Inequivalent atoms, fractional coordinates:
1 Sr 0.000 0.000 0.000
2 Co 0.000 0.500 0.000
3 Ru 0.250 0.250 0.500

[14]
A relaxed SrCoRu2 crystal. Source: Alexandria, functional GGA-PBE.

Results
energy of formation: 2.03 eV/f.u.
D(E_F): 1.350 states/eV/atom

abc: 2.878 3.533 7.106
angles: 90.00 90.00 90.00
Space group Pmm2 (No. 25)
Inequivalent atoms, fractional coordinates:
1 Sr 0.000 0.000 0.000
2 Co 0.500 0.500 0.317
3 Ru 0.000 0.000 0.490
4 Ru 0.500 0.500 0.668

[15]
A relaxed SrCoRu2 crystal. Source: Alexandria, functional GGA-PBE.

Results
energy of formation: 3.24 eV/f.u.
D(E_F): 1.223 states/eV/atom

abc: 6.490 6.490 6.490
angles: 90.00 90.00 90.00
Space group F-43m (No. 216)
Inequivalent atoms, fractional coordinates:
1 Sr 0.000 0.000 0.000
2 Co 0.250 0.250 0.250
3 Ru 0.000 0.000 0.500
4 Ru 0.250 0.250 0.750

[16]
A relaxed SrCo2Ru crystal. Source: Alexandria, functional GGA-PBE.

Results
energy of formation: 3.35 eV/f.u.
D(E_F): 0.902 states/eV/atom

abc: 6.412 6.412 6.412
angles: 90.00 90.00 90.00
Space group F-43m (No. 216)
Inequivalent atoms, fractional coordinates:
1 Sr 0.000 0.000 0.000
2 Co 0.000 0.000 0.500
3 Co 0.250 0.250 0.750
4 Ru 0.250 0.250 0.250

[17]
A relaxed SrCoRu2 crystal. Source: Alexandria, functional GGA-PBE.

Results
energy of formation: 3.60 eV/f.u.
D(E_F): 0.868 states/eV/atom

abc: 6.480 6.480 6.480
angles: 90.00 90.00 90.00
Space group Fm-3m (No. 225)
Inequivalent atoms, fractional coordinates:
1 Sr 0.000 0.000 0.000
2 Co 0.000 0.000 0.500
3 Ru 0.250 0.250 0.250

[18]
A relaxed SrCo2Ru crystal. Source: Alexandria, functional GGA-PBE.

Results
energy of formation: 2.59 eV/f.u.
D(E_F): 0.992 states/eV/atom

abc: 4.682 4.682 16.181
angles: 90.00 90.00 90.00
Space group I4_1/amd (No. 141, origin choice 2)
Inequivalent atoms, fractional coordinates:
1 Sr 0.000 0.250 0.375
2 Co 0.000 0.000 0.000
3 Ru 0.000 0.250 0.875